Version A
{
  "formula": "KTePt3",
  "functional": "PBE",
  "state": "relaxed",
  "n_ef_per_ev_atom": 1.053,
  "magmom_total_mub_per_cell": 0.0,
  "lattice_angstrom": [[-3.366, -1.779, -3.352], [-0.648, -4.146, 2.850], [-3.739, 2.320, 2.524]],
  "species": ["Pt", "Pt", "Pt", "K", "Te"],
  "frac_coords": [[0.000, 0.500, 0.000], [0.000, 0.000, 0.500], [0.500, 0.000, 0.000], [0.500, 0.500, 0.500], [0.000, 0.000, 0.000]]
}

---

Version B
{
  "formula": "KTePt3",
  "functional": "PBE",
  "state": "relaxed",
  "n_ef_per_ev_atom": 1.129,
  "magmom_total_mub_per_cell": 0.0,
  "lattice_angstrom": [[-0.493, -4.958, -0.148], [0.261, -0.175, 4.974], [-4.953, 0.484, 0.277]],
  "species": ["Pt", "Pt", "Pt", "Te", "K"],
  "frac_coords": [[0.500, 0.000, 0.000], [0.000, 0.000, 0.500], [0.000, 0.500, 0.000], [0.500, 0.500, 0.500], [0.000, 0.000, 0.000]]
}

---

Which is the most stable structure? version A is the most stable.

---

Version A
{
  "formula": "KTiPt3",
  "functional": "PBE",
  "state": "relaxed",
  "n_ef_per_ev_atom": 0.593,
  "magmom_total_mub_per_cell": 0.0,
  "lattice_angstrom": [[-1.459, -4.356, 1.541], [3.166, -2.119, -2.993], [3.364, 0.106, 3.485]],
  "species": ["Ti", "Pt", "Pt", "Pt", "K"],
  "frac_coords": [[0.000, 0.000, 0.000], [0.000, 0.500, 0.000], [0.500, 0.000, 0.000], [0.000, 0.000, 0.500], [0.500, 0.500, 0.500]]
}

---

Version B
{
  "formula": "KTiPt3",
  "functional": "PBE",
  "state": "relaxed",
  "n_ef_per_ev_atom": 2.274,
  "magmom_total_mub_per_cell": 0.0,
  "lattice_angstrom": [[4.857, 0.000, 0.000], [0.000, 4.857, 0.000], [0.000, 0.000, 4.857]],
  "species": ["Pt", "Pt", "Pt", "Ti", "K"],
  "frac_coords": [[0.000, 0.500, 0.000], [0.000, 0.000, 0.500], [0.500, 0.000, 0.000], [0.500, 0.500, 0.500], [0.000, 0.000, 0.000]]
}

---

Which is the most stable structure? version A is the most stable.

---

Version A
{
  "formula": "K2Ti2Pt",
  "functional": "PBE",
  "state": "relaxed",
  "n_ef_per_ev_atom": 1.410,
  "magmom_total_mub_per_cell": 7.1,
  "lattice_angstrom": [[-1.648, 4.656, -4.453], [-4.956, -3.853, -2.194], [-3.890, 2.622, 4.181]],
  "species": ["K", "K", "K", "K", "Ti", "Ti", "Ti", "Ti", "Pt", "Pt"],
  "frac_coords": [[0.808, 0.308, 0.500], [0.192, 0.692, 0.500], [0.692, 0.808, 0.500], [0.308, 0.192, 0.500], [0.151, 0.349, 0.000], [0.651, 0.151, 0.000], [0.849, 0.651, 0.000], [0.349, 0.849, 0.000], [0.500, 0.500, 0.000], [0.000, 0.000, 0.000]]
}

---

Version B
{
  "formula": "K2Ti2Pt",
  "functional": "PBE",
  "state": "relaxed",
  "n_ef_per_ev_atom": 0.830,
  "magmom_total_mub_per_cell": 0.0,
  "lattice_angstrom": [[-2.525, -2.592, 1.292], [2.890, -2.365, 0.902], [0.576, 0.818, 8.481]],
  "species": ["K", "K", "Ti", "Ti", "Pt"],
  "frac_coords": [[0.250, 0.750, 0.500], [0.750, 0.250, 0.500], [0.435, 0.435, 0.130], [0.565, 0.565, 0.870], [0.000, 0.000, 0.000]]
}

---

Which is the most stable structure? version A is the most stable.

---

Version A
{
  "formula": "KTi2Pt2",
  "functional": "PBE",
  "state": "relaxed",
  "n_ef_per_ev_atom": 1.110,
  "magmom_total_mub_per_cell": 0.0,
  "lattice_angstrom": [[8.177, 0.000, 0.000], [0.000, 8.177, 0.000], [0.000, 0.000, 2.784]],
  "species": ["Ti", "Ti", "Ti", "Ti", "Pt", "Pt", "Pt", "Pt", "K", "K"],
  "frac_coords": [[0.877, 0.623, 0.000], [0.377, 0.877, 0.000], [0.123, 0.377, 0.000], [0.623, 0.123, 0.000], [0.666, 0.834, 0.500], [0.834, 0.334, 0.500], [0.334, 0.166, 0.500], [0.166, 0.666, 0.500], [0.000, 0.000, 0.000], [0.500, 0.500, 0.000]]
}

---

Version B
{
  "formula": "KTi2Pt2",
  "functional": "PBE",
  "state": "relaxed",
  "n_ef_per_ev_atom": 1.170,
  "magmom_total_mub_per_cell": 0.0,
  "lattice_angstrom": [[4.460, 0.000, 0.000], [0.000, 4.460, 0.000], [2.230, 2.230, 5.342]],
  "species": ["Pt", "Pt", "Ti", "Ti", "K"],
  "frac_coords": [[0.371, 0.371, 0.259], [0.629, 0.629, 0.741], [0.750, 0.250, 0.500], [0.250, 0.750, 0.500], [0.000, 0.000, 0.000]]
}

---

Which is the most stable structure? version B is the most stable.

---

Version A
{
  "formula": "K2TiPt",
  "functional": "PBE",
  "state": "relaxed",
  "n_ef_per_ev_atom": 0.897,
  "magmom_total_mub_per_cell": 4.4,
  "lattice_angstrom": [[12.055, 0.000, 0.000], [0.000, 12.055, 0.000], [6.028, 6.028, 2.436]],
  "species": ["Pt", "Pt", "K", "K", "K", "K", "Ti", "Ti"],
  "frac_coords": [[0.750, 0.250, 0.500], [0.000, 0.000, 0.000], [0.875, 0.031, 0.750], [0.375, 0.219, 0.750], [0.969, 0.625, 0.250], [0.781, 0.125, 0.250], [0.250, 0.750, 0.500], [0.500, 0.500, 0.000]]
}

---

Version B
{
  "formula": "K2TiPt",
  "functional": "PBE",
  "state": "relaxed",
  "n_ef_per_ev_atom": 3.981,
  "magmom_total_mub_per_cell": 2.9,
  "lattice_angstrom": [[0.000, 3.894, 3.894], [3.894, 0.000, 3.894], [3.894, 3.894, 0.000]],
  "species": ["K", "K", "Pt", "Ti"],
  "frac_coords": [[0.750, 0.750, 0.750], [0.250, 0.250, 0.250], [0.500, 0.500, 0.500], [0.000, 0.000, 0.000]]
}

---

Which is the most stable structure? version A is the most stable.

---

Version A
{
  "formula": "KTi3Pt",
  "functional": "PBE",
  "state": "relaxed",
  "n_ef_per_ev_atom": 1.401,
  "magmom_total_mub_per_cell": 1.6,
  "lattice_angstrom": [[-1.775, -3.385, 2.223], [2.943, 0.589, 3.247], [-2.782, 2.783, 2.016]],
  "species": ["Ti", "Ti", "Ti", "K", "Pt"],
  "frac_coords": [[0.000, 0.500, 0.000], [0.000, 0.000, 0.500], [0.500, 0.000, 0.000], [0.000, 0.000, 0.000], [0.500, 0.500, 0.500]]
}

---

Version B
{
  "formula": "KTi3Pt",
  "functional": "PBE",
  "state": "relaxed",
  "n_ef_per_ev_atom": 1.742,
  "magmom_total_mub_per_cell": 0.4,
  "lattice_angstrom": [[4.982, 0.000, 0.000], [0.000, 4.982, 0.000], [0.000, 0.000, 4.982]],
  "species": ["Pt", "Ti", "Ti", "Ti", "K"],
  "frac_coords": [[0.000, 0.000, 0.000], [0.000, 0.500, 0.000], [0.500, 0.000, 0.000], [0.000, 0.000, 0.500], [0.500, 0.500, 0.500]]
}

---

Which is the most stable structure? version B is the most stable.

---

Version A
{
  "formula": "KTl2Pt2",
  "functional": "PBE",
  "state": "relaxed",
  "n_ef_per_ev_atom": 0.233,
  "magmom_total_mub_per_cell": 0.0,
  "lattice_angstrom": [[-2.298, 2.123, -2.424], [-1.601, -3.336, -1.404], [-8.080, -0.245, 4.216]],
  "species": ["K", "Pt", "Pt", "Tl", "Tl"],
  "frac_coords": [[0.000, 0.000, 0.000], [0.250, 0.750, 0.500], [0.750, 0.250, 0.500], [0.367, 0.367, 0.267], [0.633, 0.633, 0.733]]
}

---

Version B
{
  "formula": "KTl2Pt2",
  "functional": "PBE",
  "state": "relaxed",
  "n_ef_per_ev_atom": 0.321,
  "magmom_total_mub_per_cell": 0.0,
  "lattice_angstrom": [[8.696, 0.000, 0.000], [0.000, 8.696, 0.000], [0.000, 0.000, 3.001]],
  "species": ["Pt", "Pt", "Pt", "Pt", "Tl", "Tl", "Tl", "Tl", "K", "K"],
  "frac_coords": [[0.341, 0.841, 0.000], [0.159, 0.341, 0.000], [0.659, 0.159, 0.000], [0.841, 0.659, 0.000], [0.638, 0.862, 0.500], [0.138, 0.638, 0.500], [0.362, 0.138, 0.500], [0.862, 0.362, 0.500], [0.500, 0.500, 0.000], [0.000, 0.000, 0.000]]
}

---

Version C
{
  "formula": "KTl2Pt2",
  "functional": "PBE",
  "state": "relaxed",
  "n_ef_per_ev_atom": 0.520,
  "magmom_total_mub_per_cell": 0.0,
  "lattice_angstrom": [[-1.127, -4.389, -1.719], [2.931, -2.037, 3.279], [-3.320, -3.530, 4.358]],
  "species": ["Pt", "Pt", "K", "Tl", "Tl"],
  "frac_coords": [[0.383, 0.383, 0.234], [0.617, 0.617, 0.766], [0.000, 0.000, 0.000], [0.750, 0.250, 0.500], [0.250, 0.750, 0.500]]
}

---

Version D
{
  "formula": "KTl2Pt2",
  "functional": "PBE",
  "state": "relaxed",
  "n_ef_per_ev_atom": 0.356,
  "magmom_total_mub_per_cell": 0.0,
  "lattice_angstrom": [[-2.995, -3.271, -0.452], [3.908, -3.490, -0.643], [0.474, 1.774, 6.013]],
  "species": ["Pt", "Pt", "Tl", "Tl", "K"],
  "frac_coords": [[0.744, 0.138, 0.488], [0.256, 0.862, 0.512], [0.644, 0.564, 0.288], [0.356, 0.436, 0.712], [0.000, 0.000, 0.000]]
}

---

Which is the most stable structure? version D is the most stable.

---

Version A
{
  "formula": "KTl3Pt",
  "functional": "PBE",
  "state": "relaxed",
  "n_ef_per_ev_atom": 0.368,
  "magmom_total_mub_per_cell": 0.0,
  "lattice_angstrom": [[-3.477, 0.868, -6.011], [-4.100, -8.717, -1.013], [-9.163, -0.454, 3.109]],
  "species": ["Tl", "Tl", "Tl", "Tl", "Tl", "Tl", "Tl", "Tl", "Tl", "Tl", "Tl", "Tl", "Pt", "Pt", "Pt", "Pt", "K", "K", "K", "K"],
  "frac_coords": [[0.910, 0.678, 0.668], [0.921, 0.340, 0.005], [0.421, 0.005, 0.340], [0.094, 0.995, 0.657], [0.090, 0.322, 0.332], [0.410, 0.668, 0.678], [0.579, 0.995, 0.660], [0.594, 0.657, 0.995], [0.406, 0.343, 0.005], [0.079, 0.660, 0.995], [0.906, 0.005, 0.343], [0.590, 0.332, 0.322], [0.717, 0.414, 0.751], [0.783, 0.249, 0.586], [0.283, 0.586, 0.249], [0.217, 0.751, 0.414], [0.250, 0.361, 0.639], [0.750, 0.036, 0.964], [0.750, 0.639, 0.361], [0.250, 0.964, 0.036]]
}

---

Version B
{
  "formula": "KTl3Pt",
  "functional": "PBE",
  "state": "relaxed",
  "n_ef_per_ev_atom": 1.112,
  "magmom_total_mub_per_cell": 0.0,
  "lattice_angstrom": [[5.934, 0.000, 0.000], [0.000, 5.934, 0.000], [0.000, 0.000, 5.934]],
  "species": ["Pt", "Tl", "Tl", "Tl", "K"],
  "frac_coords": [[0.500, 0.500, 0.500], [0.000, 0.500, 0.000], [0.000, 0.000, 0.500], [0.500, 0.000, 0.000], [0.000, 0.000, 0.000]]
}

---

Which is the most stable structure? version A is the most stable.

---

Version A
{
  "formula": "KTl3Pt",
  "functional": "PBE",
  "state": "relaxed",
  "n_ef_per_ev_atom": 0.579,
  "magmom_total_mub_per_cell": 0.0,
  "lattice_angstrom": [[5.474, 0.000, 0.000], [0.000, 5.474, 0.000], [0.000, 0.000, 5.474]],
  "species": ["Tl", "Tl", "Tl", "K", "Pt"],
  "frac_coords": [[0.000, 0.500, 0.000], [0.000, 0.000, 0.500], [0.500, 0.000, 0.000], [0.500, 0.500, 0.500], [0.000, 0.000, 0.000]]
}

---

Version B
{
  "formula": "KTl3Pt",
  "functional": "PBE",
  "state": "relaxed",
  "n_ef_per_ev_atom": 0.434,
  "magmom_total_mub_per_cell": 0.0,
  "lattice_angstrom": [[-3.094, 3.596, 1.137], [-4.045, -5.474, 6.301], [8.171, 4.215, 8.907]],
  "species": ["Tl", "Tl", "Tl", "Tl", "Tl", "Tl", "Tl", "Tl", "Tl", "Tl", "Tl", "Tl", "K", "K", "K", "K", "Pt", "Pt", "Pt", "Pt"],
  "frac_coords": [[0.750, 0.438, 0.920], [0.250, 0.876, 0.800], [0.250, 0.562, 0.080], [0.750, 0.124, 0.200], [0.250, 0.863, 0.212], [0.750, 0.637, 0.712], [0.250, 0.062, 0.420], [0.250, 0.363, 0.288], [0.250, 0.376, 0.700], [0.750, 0.938, 0.580], [0.750, 0.137, 0.788], [0.750, 0.624, 0.300], [0.250, 0.189, 0.997], [0.750, 0.811, 0.003], [0.250, 0.689, 0.503], [0.750, 0.311, 0.497], [0.250, 0.586, 0.856], [0.750, 0.914, 0.356], [0.250, 0.086, 0.644], [0.750, 0.414, 0.144]]
}

---

Which is the most stable structure? version B is the most stable.

---

Version A
{
  "formula": "KTl3Pt3",
  "functional": "PBE",
  "state": "relaxed",
  "n_ef_per_ev_atom": 0.480,
  "magmom_total_mub_per_cell": 0.0,
  "lattice_angstrom": [[7.644, 0.000, 0.000], [0.000, 7.644, 0.000], [0.000, 0.000, 7.644]],
  "species": ["Tl", "Tl", "Tl", "Tl", "Tl", "Tl", "Pt", "Pt", "Pt", "Pt", "Pt", "Pt", "K", "K"],
  "frac_coords": [[0.000, 0.500, 0.250], [0.500, 0.250, 0.000], [0.250, 0.000, 0.500], [0.750, 0.000, 0.500], [0.500, 0.750, 0.000], [0.000, 0.500, 0.750], [0.000, 0.250, 0.500], [0.000, 0.750, 0.500], [0.500, 0.000, 0.750], [0.500, 0.000, 0.250], [0.250, 0.500, 0.000], [0.750, 0.500, 0.000], [0.000, 0.000, 0.000], [0.500, 0.500, 0.500]]
}

---

Version B
{
  "formula": "KTl3Pt3",
  "functional": "PBE",
  "state": "relaxed",
  "n_ef_per_ev_atom": 0.655,
  "magmom_total_mub_per_cell": 0.0,
  "lattice_angstrom": [[6.515, 0.000, 2.383], [2.822, 5.872, 2.383], [0.067, 0.042, 9.916]],
  "species": ["Pt", "Pt", "Pt", "Pt", "Pt", "Pt", "Tl", "Tl", "Tl", "Tl", "Tl", "Tl", "K", "K"],
  "frac_coords": [[0.063, 0.762, 0.551], [0.625, 0.063, 0.551], [0.375, 0.937, 0.449], [0.762, 0.625, 0.551], [0.238, 0.375, 0.449], [0.937, 0.238, 0.449], [0.283, 0.746, 0.753], [0.217, 0.283, 0.753], [0.717, 0.254, 0.247], [0.783, 0.717, 0.247], [0.254, 0.783, 0.247], [0.746, 0.217, 0.753], [0.299, 0.299, 0.102], [0.701, 0.701, 0.898]]
}

---

Which is the most stable structure? version B is the most stable.